This record from Alexandria describes crystalline AuSeO3 at its relaxed geometry. The functional is PBE.

Cell and atoms, written as CIF:
```
data_AuSeO3
_symmetry_space_group_name_H-M 'P 1'
_symmetry_Int_Tables_number 1
_cell_length_a 4.037
_cell_length_b 4.037
_cell_length_c 4.037
_cell_angle_alpha 90.00
_cell_angle_beta 90.00
_cell_angle_gamma 90.00
loop_
_symmetry_equiv_pos_as_xyz
'x,y,z'
loop_
_atom_site_label
_atom_site_type_symbol
_atom_site_fract_x
_atom_site_fract_y
_atom_site_fract_z
Au1 Au 0.000 0.000 0.000
Se1 Se 0.500 0.500 0.500
O1 O 0.000 0.000 0.500
O2 O 0.000 0.500 0.000
O3 O 0.500 0.000 0.000
```

## Properties
Total energy   -3.593 eV per atom
Formation energy without anion corrections   354 kJ/mol of formula units
Space group   No. 221